The following is a DFT calculation (PBE) of BaLi4Pb after structural relaxation.

abc: 5.949 5.949 5.949
angles: 60.00 60.00 60.00
Fractional coordinates of all 6 atoms:
Ba: 0.000 0.000 0.000
Li: 0.128 0.624 0.624
Li: 0.624 0.128 0.624
Li: 0.624 0.624 0.128
Li: 0.624 0.624 0.624
Pb: 0.250 0.250 0.250

## Properties
Total energy: -2.412 eV per atom
Energy of formation: -4.56 kcal/mol of atoms
Energy relative to the lowest polymorph listed for this composition: 0.000 eV/atom

=====

The following is a DFT calculation (PBE) of BaLiPb2 after structural relaxation.

abc: 10.771 10.771 10.771
angles: 150.72 150.72 41.89
Fractional coordinates of all 8 atoms:
Ba: 0.000 0.000 0.000
Ba: 0.750 0.250 0.500
Li: 0.250 0.750 0.500
Li: 0.500 0.500 0.000
Pb: 0.241 0.625 0.116
Pb: 0.375 0.491 0.616
Pb: 0.509 0.125 0.884
Pb: 0.875 0.759 0.384

## Properties
Total energy: -3.015 eV per atom
Energy of formation: -4.66 kcal/mol of atoms

=====

The following is a DFT calculation (PBE) of Ba3Li4Pb4 after structural relaxation.

abc: 9.771 9.771 9.771
angles: 149.63 132.04 57.83
Fractional coordinates of all 11 atoms:
Ba: 0.000 0.000 0.000
Ba: 0.364 0.864 0.500
Ba: 0.636 0.136 0.500
Li: 0.015 0.329 0.686
Li: 0.357 0.671 0.686
Li: 0.643 0.329 0.314
Li: 0.985 0.671 0.314
Pb: 0.210 0.210 0.000
Pb: 0.313 0.500 0.813
Pb: 0.687 0.500 0.187
Pb: 0.790 0.790 0.000

## Properties
Total energy: -2.971 eV per atom
Energy of formation: -9.27 kcal/mol of atoms

=====

The following is a DFT calculation (PBE) of Ba3LiPb after structural relaxation.

abc: 6.832 6.832 6.832
angles: 90.00 90.00 90.00
Fractional coordinates of all 5 atoms:
Ba: 0.000 0.000 0.500
Ba: 0.000 0.500 0.000
Ba: 0.500 0.000 0.000
Li: 0.500 0.500 0.500
Pb: 0.000 0.000 0.000

## Properties
Total energy: -2.321 eV per atom
Energy of formation: -1.00 kcal/mol of atoms
Energy relative to the lowest polymorph listed for this composition: 0.000 eV/atom

=====

Q: What is the energy of formation in the fourth record?
A: -1.00 kcal/mol of atoms